DFT (PBE-GGA) results for crystalline Y2PuMgHg4 at its relaxed geometry.

abc: 9.1648 9.1648 9.1648
angles: 32.78 32.78 32.78
Atoms (fractional coordinates):
Y1 0.2462 0.2462 0.2462
Y2 0.7538 0.7538 0.7538
Pu1 0.0000 0.0000 0.0000
Mg1 0.5000 0.5000 0.5000
Hg1 0.1259 0.1259 0.1259
Hg2 0.3774 0.3774 0.3774
Hg3 0.6226 0.6226 0.6226
Hg4 0.8741 0.8741 0.8741

Energy of formation from the pure elements = -33 kJ/mol of atoms
Final energy = -4.10 eV per atom
Total moment = 6.1 μB/f.u.